Compound: La3TbCl
Source: Alexandria via LeMat-Bulk
Functional: GGA-PBE
Structure: relaxed

Cell: 5.5718 5.5718 5.5718 Å, 90.00 90.00 90.00°
Sites, in units of the cell vectors:
Cl 0.0000 0.0000 0.0000
Tb 0.5000 0.5000 0.5000
La 0.0000 0.5000 0.0000
La 0.0000 0.0000 0.5000
La 0.5000 0.0000 0.0000

Output
- E_tot: -4.7933 eV/atom
- Volume: 173 Å³/cell
- Uncorrected formation energy: -0.5415 eV per atom